La5Pr5Y | GGA-PBE | relaxed

* uncorrected energy: -52.3 eV/cell
* energy above the most stable polymorph in this dataset: 2.53 eV/f.u.
* DOS(E_F): 18.7 states/eV/cell
* DFT formation energy: 0.24 eV/atom

Lattice parameters (Å, degrees): 6.321 6.321 11.514 90.00 90.00 120.00
Sites, in units of the cell vectors:
La  0.344  0.172  0.500
La  0.000  0.000  0.267
La  0.828  0.656  0.500
La  0.828  0.172  0.500
La  0.000  0.000  0.733
Pr  0.667  0.333  0.163
Pr  0.667  0.333  0.837
Pr  0.333  0.667  0.316
Pr  0.333  0.667  0.684
Pr  0.000  0.000  0.000
Y  0.333  0.667  0.000